Computed, not measured: TbPmRhBr after structural relaxation at the GGA-PBE level of DFT.

abc: 8.151 8.151 8.151
angles: 28.68 28.68 28.68
Atoms (fractional coordinates):
Tb 0.000 0.000 0.000
Pm 0.795 0.795 0.795
Rh 0.396 0.396 0.396
Br 0.568 0.568 0.568

Output
Uncorrected formation energy: -1.07 eV/atom
Uncorrected energy: -22.70 eV for the cell shown
Space group: R3m
Total magnetization: 0.00 μB per cell